# 1
A plane-wave DFT calculation with PBE was carried out for a geometry-optimized ZnNiPt3 structure.

abc: 3.9192 3.9464 9.4981
angles: 90.00 78.09 90.00
Closest atoms and distances in Å follow each position.
Sites, in units of the cell vectors:
Ni1 0.9765 0.2500 0.6954  8 Pt 2.65-2.69, 4 Zn 2.78
Ni2 0.6719 0.7500 0.3046  8 Pt 2.65-2.69, 4 Zn 2.78
Pt1 0.8786 0.7500 0.8912  2 Zn 2.67, 2 Ni 2.68, 8 Pt 2.78-2.85
Pt2 0.0748 0.7500 0.4987  4 Ni 2.66-2.69, 4 Zn 2.68, 4 Pt 2.78
Pt3 0.7697 0.2500 0.1088  2 Zn 2.67, 2 Ni 2.68, 8 Pt 2.78-2.85
Pt4 0.5735 0.2500 0.5013  4 Ni 2.66-2.69, 4 Zn 2.68, 4 Pt 2.78
Pt5 0.3808 0.2500 0.8867  2 Ni 2.65, 2 Zn 2.65, 8 Pt 2.78-2.89
Pt6 0.2675 0.7500 0.1133  2 Ni 2.65, 2 Zn 2.65, 8 Pt 2.78-2.89
Zn1 0.1722 0.2500 0.3040  8 Pt 2.65-2.68, 4 Ni 2.78
Zn2 0.4762 0.7500 0.6960  8 Pt 2.65-2.68, 4 Ni 2.78

The space-group type is Cmcm (63). The value obtained for the offset from the most stable computed form is 0 meV/atom. The value obtained for the total moment is 2.09 μB per cell. The formation energy is -0.276 eV per atom. Its calculated volume is 14.37 Å³/atom.



# 2
A plane-wave DFT calculation with PBE was carried out for a geometry-optimized Zn2NiPt structure.

abc: 4.4456 4.4456 4.7322
angles: 79.23 79.23 36.67
Closest atoms and distances in Å follow each position.
Sites, in units of the cell vectors:
Pt1 0.2500 0.2500 0.2500  6 Zn 2.62-2.66, 4 Ni 2.75, 2 Pt 2.80
Zn1 0.0041 0.0041 0.9874  3 Ni 2.57-2.61, 3 Pt 2.62-2.66, 6 Zn 2.66-2.84
Zn2 0.4959 0.4959 0.5126  3 Ni 2.57-2.61, 3 Pt 2.62-2.66, 6 Zn 2.66-2.84
Ni1 0.7500 0.7500 0.7500  6 Zn 2.57-2.61, 4 Pt 2.75, 2 Ni 2.80

The space-group type is C2/m (12). The value obtained for the total moment is 0.00 μB per cell. The formation energy is -0.300 eV per atom. Its calculated volume is 13.69 Å³/atom.



# 3
A plane-wave DFT calculation with PBE was carried out for a geometry-optimized Zn2Ni3Pt8 structure.

abc: 4.3034 7.7169 7.7169
angles: 51.37 89.99 89.99
Closest atoms and distances in Å follow each position.
Sites, in units of the cell vectors:
Pt1 0.9996 0.8824 0.8824  4 Ni 2.61-2.70, 2 Zn 2.65, 4 Pt 2.90-2.91
Pt2 0.0000 0.3358 0.3358  2 Zn 2.62, 2 Ni 2.63, 4 Pt 2.68
Pt3 0.5002 0.4001 0.8174  3 Ni 2.47-2.63, 2 Zn 2.57-2.66, 2 Pt 2.68
Pt4 0.0004 0.1176 0.1176  4 Ni 2.61-2.70, 2 Zn 2.65, 4 Pt 2.90-2.91
Pt5 0.4998 0.1826 0.5999  3 Ni 2.47-2.63, 2 Zn 2.57-2.66, 2 Pt 2.68
Pt6 0.4998 0.5999 0.1826  3 Ni 2.47-2.63, 2 Zn 2.57-2.66, 2 Pt 2.68
Pt7 0.0000 0.6642 0.6642  2 Zn 2.62, 2 Ni 2.63, 4 Pt 2.68
Pt8 0.5002 0.8174 0.4001  3 Ni 2.47-2.63, 2 Zn 2.57-2.66, 2 Pt 2.68
Zn1 0.4998 0.7713 0.7713  8 Pt 2.57-2.66
Zn2 0.5002 0.2287 0.2287  8 Pt 2.57-2.66
Ni1 0.5000 0.0000 0.0000  8 Pt 2.47-2.70
Ni2 0.0000 0.6957 0.3043  8 Pt 2.61-2.63, 1 Ni 2.62
Ni3 0.0000 0.3043 0.6957  8 Pt 2.61-2.63, 1 Ni 2.62

The space-group type is Cmmm (65). The value obtained for the total moment is 2.36 μB per cell. The formation energy is -0.047 eV per atom. Its calculated volume is 15.40 Å³/atom.



# 4
A plane-wave DFT calculation with PBE was carried out for a geometry-optimized ZnNi6Pt2 structure.

abc: 5.7065 8.6895 5.7065
angles: 66.14 94.42 66.14
Closest atoms and distances in Å follow each position.
Sites, in units of the cell vectors:
Ni1 0.5767 0.4293 0.8530  6 Ni 2.47-2.60, 4 Pt 2.59-2.65, 1 Zn 2.64
Ni2 0.7566 0.5725 0.4821  6 Ni 2.48-2.60, 2 Zn 2.57-2.62, 3 Pt 2.61-2.65
Ni3 0.2434 0.4275 0.5179  6 Ni 2.48-2.60, 2 Zn 2.57-2.62, 3 Pt 2.61-2.65
Ni4 0.0915 0.5715 0.8139  6 Ni 2.48-2.58, 3 Pt 2.59-2.60, 2 Zn 2.62-2.65
Ni5 0.1861 0.9285 0.9085  6 Ni 2.48-2.58, 3 Pt 2.59-2.60, 2 Zn 2.62-2.65
Ni6 0.4233 0.5707 0.1470  6 Ni 2.47-2.60, 4 Pt 2.59-2.65, 1 Zn 2.64
Ni7 0.1470 0.0707 0.4233  6 Ni 2.47-2.60, 4 Pt 2.59-2.65, 1 Zn 2.64
Ni8 0.5179 0.9275 0.2434  6 Ni 2.48-2.60, 2 Zn 2.57-2.62, 3 Pt 2.61-2.65
Ni9 0.4821 0.0725 0.7566  6 Ni 2.48-2.60, 2 Zn 2.57-2.62, 3 Pt 2.61-2.65
Ni10 0.8139 0.0715 0.0915  6 Ni 2.48-2.58, 3 Pt 2.59-2.60, 2 Zn 2.62-2.65
Ni11 0.8530 0.9293 0.5767  6 Ni 2.47-2.60, 4 Pt 2.59-2.65, 1 Zn 2.64
Ni12 0.9085 0.4285 0.1861  6 Ni 2.48-2.58, 3 Pt 2.59-2.60, 2 Zn 2.62-2.65
Pt1 0.7644 0.2490 0.5828  1 Zn 2.54, 10 Ni 2.59-2.65, 1 Pt 2.68
Pt2 0.2356 0.7510 0.4172  1 Zn 2.54, 10 Ni 2.59-2.65, 1 Pt 2.68
Pt3 0.5828 0.7490 0.7644  1 Zn 2.54, 10 Ni 2.59-2.65, 1 Pt 2.68
Pt4 0.4172 0.2510 0.2356  1 Zn 2.54, 10 Ni 2.59-2.65, 1 Pt 2.68
Zn1 0.9065 0.7500 0.0935  2 Pt 2.54, 10 Ni 2.57-2.65
Zn2 0.0935 0.2500 0.9065  2 Pt 2.54, 10 Ni 2.57-2.65

The space-group type is C2/c (15). The value obtained for the offset from the most stable computed form is 0 meV/atom. The value obtained for the total moment is 8.12 μB per cell. The formation energy is -0.051 eV per atom. Its calculated volume is 12.59 Å³/atom.



Question: Which value of total moment does entry 2 give?
Answer: 0.00 μB per cell